# 1
PBE-GGA YEr7Sc2, relaxed; formation energy = 64.8 kJ/mol of atoms; M_tot = 0.00 Bohr magnetons per cell; calculated density = 6.20 g cm⁻³; SG = Cmmm, No. 65
1.0
4.349 -7.537 0.000
4.349 7.537 0.000
0.000 0.000 5.514
Y Er Sc
1 7 2
Cartesian
0.000 0.000 0.000
1.572 1.808 2.757
4.349 3.964 0.000
1.572 -1.808 2.757
4.349 0.000 2.757
7.126 1.808 2.757
4.349 -3.964 0.000
7.126 -1.808 2.757
4.349 3.092 2.757
4.349 -3.092 2.757

=====

# 2
PBE-GGA Pm2Sb, relaxed; M_tot = 0.00 Bohr magnetons per cell; calculated density = 7.53 g cm⁻³; SG = I4/mmm, No. 139; formation energy (no corrections) = -0.848 eV per atom
1.0
-2.272 2.272 8.802
2.272 -2.272 8.802
2.272 2.272 -8.802
Pm Sb
4 2
Cartesian
2.272 0.000 0.000
0.000 0.000 3.143
0.000 2.272 0.000
0.000 0.000 14.460
0.000 0.000 6.361
0.000 0.000 11.242

=====

# 3
PBE-GGA NdTmMoN3, relaxed; M_tot = 0.00 Bohr magnetons per cell; calculated density = 9.32 g cm⁻³; SG = P2_1/m, No. 11; formation energy (no corrections) = -1.215 eV per atom
1.0
5.831 0.000 0.000
0.000 3.345 0.000
-1.956 0.000 8.238
Nd Tm Mo N
2 2 2 6
Cartesian
0.445 0.836 1.569
3.429 2.509 6.669
0.473 2.509 4.554
3.401 0.836 3.684
0.561 0.836 7.239
3.314 2.509 0.999
-0.894 0.836 5.525
-0.452 2.509 8.115
2.019 2.509 2.701
1.855 0.836 5.537
4.327 0.836 0.124
4.769 2.509 2.713

=====

# 4
PBE-GGA TbZr2PaC4, relaxed; formation energy = -51.9 kJ/mol of atoms; M_tot = 0.00 Bohr magnetons per cell; calculated density = 8.66 g cm⁻³; SG = P2/m, No. 10
1.0
5.995 0.000 0.000
0.000 3.461 0.000
-1.997 0.000 5.731
Tb Zr Pa C
1 2 1 4
Cartesian
0.000 0.000 0.000
-0.998 1.731 2.866
1.999 0.000 2.866
2.997 1.731 0.000
0.047 0.000 4.227
1.058 1.731 1.512
2.941 1.731 4.219
3.951 0.000 1.504

=====

# 5
PBE-GGA CsAg2S2, relaxed; M_tot = 0.00 Bohr magnetons per cell; calculated density = 4.41 g cm⁻³; SG = Immm, No. 71; formation energy (no corrections) = -0.293 eV per atom
1.0
-2.212 2.227 7.882
2.212 -2.227 7.882
2.212 2.227 -7.882
Cs Ag S
1 2 2
Cartesian
0.000 0.000 0.000
0.000 0.000 3.998
0.000 0.000 11.767
2.212 0.000 5.309
0.000 2.227 2.573

=====

# 6
PBE-GGA Dy3Y6Er2Sc, relaxed; formation energy = 3.3 kJ/mol of atoms; M_tot = 0.00 Bohr magnetons per cell; calculated density = 6.24 g cm⁻³; SG = C2/m, No. 12
1.0
3.059 -5.293 0.000
3.059 5.293 0.000
-2.033 0.000 11.516
Dy Y Er Sc
3 6 2 1
Cartesian
0.000 0.000 0.000
3.059 1.763 0.000
3.059 -1.763 0.000
1.030 1.753 2.915
0.016 0.000 8.602
1.030 -1.753 2.915
3.056 1.753 8.601
4.069 0.000 2.913
3.056 -1.753 8.601
2.043 3.529 5.758
2.043 -3.529 5.758
2.043 0.000 5.758

=====

# 7
PBE-GGA InB4O7, relaxed; M_tot = 1.57 Bohr magnetons per cell; calculated density = 4.30 g cm⁻³; SG = Pmn2_1, No. 31; formation energy (no corrections) = -2.132 eV per atom
1.0
10.937 0.000 0.000
0.000 4.477 0.000
0.000 0.000 4.259
In B O
2 8 14
Cartesian
0.000 0.698 0.000
5.469 3.779 2.129
1.333 3.008 1.897
2.720 3.696 3.907
2.749 0.781 1.778
4.136 1.469 4.027
6.802 1.469 4.027
8.189 0.781 1.778
8.217 3.696 3.907
9.604 3.008 1.897
0.000 3.416 1.434
1.490 3.287 3.309
1.572 1.606 1.568
2.391 3.899 1.155
3.078 0.578 3.284
3.896 2.871 3.697
3.979 1.190 1.179
5.469 1.062 3.564
6.959 1.190 1.179
7.041 2.871 3.697
7.860 0.578 3.284
8.546 3.899 1.155
9.365 1.606 1.568
9.448 3.287 3.309

=====

# 8
PBE-GGA LaDy12Y3, relaxed; formation energy = 2.3 kJ/mol of atoms; M_tot = 0.00 Bohr magnetons per cell; calculated density = 7.65 g cm⁻³; SG = P4/mmm, No. 123
1.0
5.037 0.000 0.000
0.000 5.037 0.000
0.000 0.000 20.158
La Dy Y
1 12 3
Cartesian
0.000 0.000 0.000
0.000 2.519 2.569
0.000 2.519 7.576
0.000 2.519 12.582
0.000 2.519 17.589
2.519 0.000 2.569
2.519 0.000 7.576
2.519 0.000 12.582
2.519 0.000 17.589
2.519 2.519 0.000
2.519 2.519 5.087
2.519 2.519 10.079
2.519 2.519 15.071
0.000 0.000 5.060
0.000 0.000 10.079
0.000 0.000 15.098